1) This record from Alexandria describes a relaxed LaScBr crystal. The functional is PBE.

Cell lengths 8.548, 6.300, 6.417 Å; angles 90.00, 90.00, 90.00 degrees
Fractional positions:
La 0.250 0.250 0.250
La 0.250 0.750 0.750
La 0.750 0.750 0.750
La 0.750 0.250 0.250
Sc 0.000 0.250 0.855
Sc 0.000 0.750 0.145
Sc 0.500 0.750 0.355
Sc 0.500 0.250 0.645
Br 0.000 0.000 0.500
Br 0.000 0.500 0.500
Br 0.500 0.500 0.000
Br 0.500 0.000 0.000


2) This record from Alexandria describes a relaxed LaScBr crystal. The functional is PBE.

Cell lengths 5.434, 5.434, 5.434 Å; angles 60.00, 60.00, 60.00 degrees
Last column: magnetic moment on the atom in μB.
Fractional positions:
Br 0.500 0.500 0.500  0.01
La 0.750 0.750 0.750  0.63
Sc 0.000 0.000 0.000  1.11


1) ends up most stable, edging out the next structure by 1008 meV/atom.


1) This record from Alexandria describes a relaxed LaScBr crystal. The functional is PBE.

Cell lengths 7.977, 7.648, 3.557 Å; angles 82.05, 71.74, 26.21 degrees
Last column: magnetic moment on the atom in μB.
Fractional positions:
Br 0.012 0.012 0.988  0.00
La 0.334 0.334 0.666  0.14
Sc 0.654 0.654 0.346  0.24


2) This record from Alexandria describes a relaxed LaScBr crystal. The functional is PBE.

Cell lengths 7.236, 7.236, 7.236 Å; angles 151.76, 151.76, 40.36 degrees
Fractional positions:
Br 0.019 0.019 0.000
La 0.328 0.328 0.000
Sc 0.653 0.653 0.000


3) This record from Alexandria describes a relaxed LaScBr crystal. The functional is PBE.

Cell lengths 3.632, 3.632, 14.784 Å; angles 83.01, 90.01, 59.99 degrees
Last column: magnetic moment on the atom in μB.
Fractional positions:
Sc 0.440 0.992 0.634  0.04
Sc 0.159 0.553 0.795  0.06
La 0.338 0.195 0.326  0.03
La 0.601 0.668 0.115  0.09
Br 0.728 0.415 0.498  0.00
Br 0.872 0.129 0.932  0.00


3) ends up most stable, edging out the next structure by 138 meV/atom.


1) This record from Alexandria describes a relaxed LaScSeBr2 crystal. The functional is PBE.

Cell lengths 5.145, 5.145, 5.248 Å; angles 90.00, 90.00, 90.00 degrees
Last column: magnetic moment on the atom in μB.
Fractional positions:
Sc 0.000 0.000 0.000  0.04
Se 0.000 0.000 0.500  -0.01
Br 0.000 0.500 0.000  0.00
Br 0.500 0.000 0.000  0.00
La 0.500 0.500 0.500  0.29


2) This record from Alexandria describes a relaxed LaScSeBr2 crystal. The functional is PBE.

Cell lengths 5.804, 5.804, 5.781 Å; angles 90.00, 90.00, 90.00 degrees
Last column: magnetic moment on the atom in μB.
Fractional positions:
Sc 0.500 0.500 0.500  1.18
Se 0.000 0.000 0.500  0.00
Br 0.000 0.500 0.000  0.01
Br 0.500 0.000 0.000  0.01
La 0.000 0.000 0.000  0.03


1) ends up most stable, edging out the next structure by 380 meV/atom.


1) This record from Alexandria describes a relaxed LaTcSeBr2 crystal. The functional is PBE.

Cell lengths 5.791, 5.791, 5.774 Å; angles 90.00, 90.00, 90.00 degrees
Last column: magnetic moment on the atom in μB.
Fractional positions:
Se 0.000 0.000 0.500  -0.04
Tc 0.500 0.500 0.500  0.21
Br 0.000 0.500 0.000  0.01
Br 0.500 0.000 0.000  0.01
La 0.000 0.000 0.000  0.00


2) This record from Alexandria describes a relaxed LaTcSeBr2 crystal. The functional is PBE.

Cell lengths 5.003, 5.003, 5.012 Å; angles 90.00, 90.00, 90.00 degrees
Last column: magnetic moment on the atom in μB.
Fractional positions:
Se 0.000 0.000 0.500  0.03
Tc 0.000 0.000 0.000  0.86
Br 0.000 0.500 0.000  0.01
Br 0.500 0.000 0.000  0.01
La 0.500 0.500 0.500  -0.15


2) ends up most stable, edging out the next structure by 671 meV/atom.


1) This record from Alexandria describes a relaxed LaVSe2Br crystal. The functional is PBE.

Cell lengths 4.910, 4.910, 4.944 Å; angles 90.00, 90.00, 90.00 degrees
Fractional positions:
V 0.000 0.000 0.000
Se 0.000 0.500 0.000
Se 0.500 0.000 0.000
Br 0.000 0.000 0.500
La 0.500 0.500 0.500


2) This record from Alexandria describes a relaxed LaVSe2Br crystal. The functional is PBE.

Cell lengths 5.767, 5.767, 5.719 Å; angles 90.00, 90.00, 90.00 degrees
Last column: magnetic moment on the atom in μB.
Fractional positions:
V 0.500 0.500 0.500  -3.14
Se 0.000 0.500 0.000  0.14
Se 0.500 0.000 0.000  0.14
Br 0.000 0.000 0.500  0.00
La 0.000 0.000 0.000  0.01


1) ends up most stable, edging out the next structure by 668 meV/atom.


1) This record from Alexandria describes a relaxed LaZnSe2Br crystal. The functional is PBE.

Cell lengths 5.832, 5.832, 5.799 Å; angles 90.00, 90.00, 90.00 degrees
Fractional positions:
Zn 0.500 0.500 0.500
Se 0.000 0.500 0.000
Se 0.500 0.000 0.000
Br 0.000 0.000 0.500
La 0.000 0.000 0.000


2) This record from Alexandria describes a relaxed LaZnSe2Br crystal. The functional is PBE.

Cell lengths 5.071, 5.071, 4.950 Å; angles 90.00, 90.00, 90.00 degrees
Last column: magnetic moment on the atom in μB.
Fractional positions:
Zn 0.000 0.000 0.000  0.00
Se 0.000 0.500 0.000  -0.01
Se 0.500 0.000 0.000  -0.01
Br 0.000 0.000 0.500  0.00
La 0.500 0.500 0.500  0.19


2) ends up most stable, edging out the next structure by 403 meV/atom.